<w>
LaTlOF2: relaxed, PBE.

Cell: 4.8096 4.8096 4.5875 Å, 90.00 90.00 90.00°
Closest atoms and distances in Å follow each position.
Fractional positions:
F 0.5000 0.0000 0.0000  2 La 2.40
Tl 0.5000 0.5000 0.5000  8 F 3.32, 4 O 3.40
O 0.0000 0.0000 0.5000  2 La 2.29
F 0.0000 0.5000 0.0000  2 La 2.40
La 0.0000 0.0000 0.0000  2 O 2.29, 4 F 2.40

Properties
* SG: P4/mmm
* total moment: 0.00 μB per formula unit

---

<x>
LaTlOF2: relaxed, PBE.

Cell: 4.7367 4.7367 4.4137 Å, 90.00 90.00 90.00°
Closest atoms and distances in Å follow each position.
Fractional positions:
Tl 0.0000 0.0000 0.0000  2 O 2.21, 4 F 2.37
O 0.0000 0.0000 0.5000  2 Tl 2.21
F 0.5000 0.0000 0.0000  2 Tl 2.37
F 0.0000 0.5000 0.0000  2 Tl 2.37
La 0.5000 0.5000 0.5000  8 F 3.24, 4 O 3.35

Properties
* SG: P4/mmm
* total moment: 0.77 μB per formula unit

---

Quick look at relative energies in meV/atom: <w> 0; <x> 1180.